No. 1
## As2SeBrO (PBE)

Data for a relaxed structure of As2SeBrO.

Cell and atoms, written as POSCAR:
```
As2SeBrO
1.0
-4.6646 0.2996 -0.3184
0.0684 -2.8697 -3.7026
-0.4070 -3.4794 2.6892
As Br Se O
2 1 1 1
Direct
0.0000 0.5000 0.0000
0.5000 0.0000 0.0000
0.5000 0.5000 0.5000
0.0000 0.0000 0.5000
0.0000 0.0000 0.0000
```

Calculated values
E_form (uncorrected) = 0.5866 eV per atom
final energy = -3.296 eV per atom
calculated density = 5562 kg/m³
crystal system = tetragonal
space group = No. 123
offset from the most stable computed form = 3 meV/atom


No. 2
## As2SeBrO (PBE)

Data for a relaxed structure of As2SeBrO.

Cell and atoms, written as POSCAR:
```
As2SeBrO
1.0
5.1132 0.0000 0.0000
0.0000 5.1132 0.0000
0.0000 0.0000 5.5163
As O Br Se
2 1 1 1
Direct
0.5000 0.0000 0.0000
0.0000 0.5000 0.0000
0.5000 0.5000 0.5000
0.0000 0.0000 0.5000
0.0000 0.0000 0.0000
```

Calculated values
E_form (uncorrected) = 1.1922 eV per atom
final energy = -2.691 eV per atom
calculated density = 3739 kg/m³
crystal system = tetragonal
space group = No. 123
offset from the most stable computed form = 609 meV/atom


No. 3
## As2SeBrO (PBE)

Data for a relaxed structure of As2SeBrO.

Cell and atoms, written as POSCAR:
```
As2SeBrO
1.0
-3.0793 2.3831 -3.3879
-3.0773 -4.1419 -0.1165
-2.6453 1.8609 3.7134
As Se O Br
2 1 1 1
Direct
0.5000 0.0000 0.0000
0.0000 0.5000 0.0000
0.0000 0.0000 0.5000
0.5000 0.5000 0.5000
0.0000 0.0000 0.0000
```

Calculated values
E_form (uncorrected) = 1.6906 eV per atom
final energy = -2.192 eV per atom
calculated density = 4110 kg/m³
crystal system = tetragonal
space group = No. 123
offset from the most stable computed form = 1107 meV/atom


No. 4
## As2SeBrO (PBE)

Data for a relaxed structure of As2SeBrO.

Cell and atoms, written as POSCAR:
```
As2SeBrO
1.0
-2.4628 3.6056 1.1548
-2.5448 -2.5965 2.6799
2.9094 0.8413 3.5779
As Br O Se
2 1 1 1
Direct
0.0000 0.5000 0.0000
0.5000 0.0000 0.0000
0.0000 0.0000 0.5000
0.0000 0.0000 0.0000
0.5000 0.5000 0.5000
```

Calculated values
E_form (uncorrected) = 0.5834 eV per atom
final energy = -3.300 eV per atom
calculated density = 5639 kg/m³
crystal system = tetragonal
space group = No. 123
offset from the most stable computed form = 0 meV/atom


Repeat the first record exactly.
## As2SeBrO (PBE)

Data for a relaxed structure of As2SeBrO.

Cell and atoms, written as POSCAR:
```
As2SeBrO
1.0
-4.6646 0.2996 -0.3184
0.0684 -2.8697 -3.7026
-0.4070 -3.4794 2.6892
As Br Se O
2 1 1 1
Direct
0.0000 0.5000 0.0000
0.5000 0.0000 0.0000
0.5000 0.5000 0.5000
0.0000 0.0000 0.5000
0.0000 0.0000 0.0000
```

Calculated values
E_form (uncorrected) = 0.5866 eV per atom
final energy = -3.296 eV per atom
calculated density = 5562 kg/m³
crystal system = tetragonal
space group = No. 123
offset from the most stable computed form = 3 meV/atom


> Among the records above, which one has the lowest calculated density?

number 2


> E_form (uncorrected) of number 2 (As2SeBrO)?

1.1922 eV per atom


> Among the records above, which one has the lowest E_form (uncorrected)?

number 4